# 1
VASP calculation (PBE-GGA) on a geometry-optimized Pr2CuBPd6 structure.

Its formation energy from the elements is -586 meV per atom.

The structure belongs to space group C2/m (No. 12); the cell edges are 9.956, 5.742 and 7.252 Å and the angles 90.00°, 117.31° and 90.00°. The inequivalent atoms are Pr at (0.219, 0.000, 0.157), Cu at (0.000, 0.500, 0.000), B at (0.000, 0.000, 0.500), Pd at (0.021, 0.256, 0.310) and Pd at (0.234, 0.000, 0.688).



# 2
VASP calculation (PBE-GGA) on a geometry-optimized CaSnAs2Se structure.

As for the relative energy among the computed polymorphs: 360 meV/atom. The uncorrected formation energy comes out at 0.40 eV per atom.

The structure belongs to space group P4/mmm (No. 123); the cell edges are 5.353, 5.353 and 5.372 Å and the angles 90.00°, 90.00° and 90.00°. The inequivalent atoms are Ca at (0.000, 0.000, 0.000), Sn at (0.500, 0.500, 0.500), As at (0.000, 0.500, 0.000) and Se at (0.000, 0.000, 0.500).



# 3
VASP calculation (PBE-GGA) on a geometry-optimized Sr2ScTa structure.

As for the relative energy among the computed polymorphs: 362 meV/atom. Its formation energy from the elements is 898 meV per atom.

The structure belongs to space group P2/m (No. 10); the cell edges are 3.308, 5.380 and 6.730 Å and the angles 90.00°, 90.23° and 90.00°. The inequivalent atoms are Sr at (0.001, 0.000, 0.238), Sc at (0.500, 0.500, 0.500) and Ta at (0.500, 0.500, 0.000).



# 4
VASP calculation (PBE-GGA) on a geometry-optimized Nd2Th3Ir2 structure.

Its formation energy from the elements is -561 meV per atom.

The structure belongs to space group C2/m (No. 12); the cell edges are 12.525, 3.959 and 9.015 Å and the angles 90.00°, 116.36° and 90.00°. The inequivalent atoms are Nd at (0.159, 0.000, 0.309), Th at (0.000, 0.500, 0.500), Th at (0.121, 0.500, 0.951) and Ir at (0.145, 0.000, 0.741).



# 5
VASP calculation (PBE-GGA) on a geometry-optimized BeCdTeN2 structure.

As for the relative energy among the computed polymorphs: 630 meV/atom. The uncorrected formation energy comes out at 1.90 eV per atom.

The structure belongs to space group P4/mmm (No. 123); the cell edges are 4.148, 4.148 and 6.523 Å and the angles 90.00°, 90.00° and 90.00°. The inequivalent atoms are Be at (0.000, 0.000, 0.000), Cd at (0.500, 0.500, 0.500), Te at (0.500, 0.500, 0.000) and N at (0.000, 0.500, 0.500).



# 6
VASP calculation (PBE-GGA) on a geometry-optimized Y2MnNi structure.

Its formation energy from the elements is -72 meV per atom.

The structure belongs to space group P2/m (No. 10); the cell edges are 3.450, 3.438 and 7.005 Å and the angles 90.00°, 90.06° and 90.00°. The inequivalent atoms are Y at (0.000, 0.000, 0.238), Mn at (0.500, 0.500, 0.500) and Ni at (0.500, 0.500, 0.000).



# 7
VASP calculation (PBE-GGA) on a geometry-optimized TlPd2Pt2 structure.

As for the relative energy among the computed polymorphs: 23 meV/atom. Its formation energy from the elements is 92 meV per atom.

The structure belongs to space group P4/mbm (No. 127); the cell edges are 7.976, 7.976 and 2.835 Å and the angles 90.00°, 90.00° and 90.00°. The inequivalent atoms are Tl at (0.000, 0.000, 0.000), Pd at (0.178, 0.322, 0.000) and Pt at (0.121, 0.621, 0.500).



# 8
VASP calculation (PBE-GGA) on a geometry-optimized Y4Ho3TmS8 structure.

The uncorrected formation energy comes out at -1.98 eV per atom.

The structure belongs to space group R-3m (No. 166, hexagonal axes); the cell edges are 7.7895, 7.7895 and 19.1148 Å and the angles 90.00°, 90.00° and 120.00°. The inequivalent atoms are Y at (0.0000, 0.0000, 0.0000), Y at (0.0000, 0.5000, 0.0000), Ho at (0.0000, 0.5000, 0.5000), Tm at (0.0000, 0.0000, 0.5000), S at (0.0000, 0.0000, 0.2489) and S at (0.0021, 0.5010, 0.2483).



# 9
VASP calculation (PBE-GGA) on a geometry-optimized PaHg2BO6 structure.

The uncorrected formation energy comes out at -1.79 eV per atom.

The structure belongs to space group P1 (No. 1); the cell edges are 5.478, 5.696 and 6.289 Å and the angles 92.81°, 108.71° and 114.87°. The inequivalent atoms are Pa at (0.000, 0.000, 0.000), Hg at (0.498, 0.751, 0.382), Hg at (0.644, 0.356, 0.991), B at (0.257, 0.606, 0.781), O at (0.033, 0.348, 0.174), O at (0.068, 0.692, 0.805), O at (0.225, 0.351, 0.805), O at (0.389, 0.081, 0.233), O at (0.504, 0.780, 0.735) and O at (0.771, 0.782, 0.193).



# 10
VASP calculation (PBE-GGA) on a geometry-optimized K2AsF6 structure.

The uncorrected formation energy comes out at -2.43 eV per atom.

The structure belongs to space group P4_2/mnm (No. 136); the cell edges are 5.550, 5.550 and 11.186 Å and the angles 90.00°, 90.00° and 90.00°. The inequivalent atoms are K at (0.000, 0.000, 0.163), As at (0.000, 0.000, 0.500), F at (0.169, 0.169, 0.375) and F at (0.245, 0.755, 0.500).



# 11
VASP calculation (PBE-GGA) on a geometry-optimized AlGaFe structure.

Its formation energy from the elements is -239 meV per atom.

The structure belongs to space group Pmmm (No. 47); the cell edges are 2.637, 4.163 and 4.186 Å and the angles 90.00°, 90.00° and 90.00°. The inequivalent atoms are Al at (0.000, 0.000, 0.000), Ga at (0.000, 0.500, 0.500) and Fe at (0.500, 0.000, 0.500).



# 12
VASP calculation (PBE-GGA) on a geometry-optimized MnZn structure.

Its formation energy from the elements is 292 meV per atom.

The structure belongs to space group P4/mnc (No. 128); the cell edges are 7.645, 7.645 and 3.830 Å and the angles 90.00°, 90.00° and 90.00°. The inequivalent atoms are Mn at (0.031, 0.354, 0.000) and Zn at (0.140, 0.812, 0.500).



How do the records compare in theoretical density? In the order shown, they have 8.97 4.18 5.56 11.35 4.10 5.83 14.87 6.33 7.45 2.57 5.51 7.14 Mg/m³.
How do the records compare in calculated volume? In the order shown, they have 18.416 30.785 29.940 28.608 22.445 20.770 18.037 20.927 16.471 19.142 15.316 13.991 Å³ per atom.